Compound: Zn3Ga5O12
Source: Alexandria via LeMat-Bulk
Functional: GGA-PBE
Structure: optimized geometry

a b c (Å): 10.509 10.509 10.509
angles (deg): 109.47 109.47 109.47
Site moments in Bohr magnetons follow the coordinates.
Fractional positions:
Ga 0.375 0.250 0.125  -0.01
Ga 0.000 0.500 0.500  -0.01
Ga 0.250 0.375 0.625  -0.01
Ga 0.875 0.250 0.625  -0.01
Ga 0.000 0.000 0.000  -0.01
Ga 0.500 0.500 0.500  -0.01
Ga 0.500 0.000 0.000  -0.01
Ga 0.625 0.875 0.250  -0.01
Ga 0.000 0.000 0.500  -0.01
Ga 0.875 0.625 0.750  -0.01
Ga 0.500 0.500 0.000  -0.01
Ga 0.000 0.500 0.000  -0.01
Ga 0.125 0.375 0.250  -0.01
Ga 0.375 0.125 0.750  -0.01
Ga 0.125 0.750 0.375  -0.01
Ga 0.250 0.875 0.125  -0.01
Ga 0.750 0.625 0.375  -0.01
Ga 0.500 0.000 0.500  -0.01
Ga 0.625 0.750 0.875  -0.01
Ga 0.750 0.125 0.875  -0.01
O 0.095 0.175 0.467  0.22
O 0.420 0.128 0.595  0.22
O 0.708 0.580 0.175  0.22
O 0.628 0.595 0.920  0.22
O 0.580 0.872 0.405  0.22
O 0.533 0.325 0.905  0.22
O 0.208 0.533 0.628  0.22
O 0.628 0.033 0.208  0.22
O 0.208 0.675 0.080  0.22
O 0.595 0.628 0.420  0.22
O 0.872 0.580 0.905  0.22
O 0.405 0.372 0.580  0.22
O 0.420 0.292 0.325  0.22
O 0.792 0.325 0.920  0.22
O 0.825 0.920 0.292  0.22
O 0.372 0.967 0.792  0.22
O 0.967 0.595 0.175  0.22
O 0.872 0.292 0.467  0.22
O 0.920 0.825 0.792  0.22
O 0.033 0.628 0.708  0.22
O 0.920 0.095 0.628  0.22
O 0.095 0.920 0.128  0.22
O 0.595 0.967 0.675  0.22
O 0.708 0.128 0.033  0.22
O 0.533 0.208 0.128  0.22
O 0.467 0.675 0.095  0.22
O 0.080 0.905 0.372  0.22
O 0.080 0.175 0.208  0.22
O 0.033 0.405 0.825  0.22
O 0.467 0.792 0.872  0.22
O 0.175 0.080 0.708  0.22
O 0.675 0.467 0.595  0.22
O 0.405 0.033 0.325  0.22
O 0.372 0.405 0.080  0.22
O 0.325 0.792 0.420  0.22
O 0.128 0.708 0.533  0.22
O 0.792 0.467 0.372  0.22
O 0.325 0.533 0.405  0.22
O 0.967 0.372 0.292  0.22
O 0.292 0.420 0.825  0.22
O 0.128 0.420 0.095  0.22
O 0.905 0.825 0.533  0.22
O 0.580 0.708 0.675  0.22
O 0.675 0.208 0.580  0.22
O 0.905 0.080 0.872  0.22
O 0.175 0.095 0.967  0.22
O 0.292 0.872 0.967  0.22
O 0.825 0.905 0.033  0.22
Zn 0.375 0.750 0.625  0.02
Zn 0.875 0.125 0.250  0.02
Zn 0.250 0.125 0.375  0.02
Zn 0.125 0.875 0.750  0.02
Zn 0.250 0.625 0.875  0.02
Zn 0.625 0.375 0.750  0.02
Zn 0.625 0.250 0.375  0.02
Zn 0.750 0.375 0.125  0.02
Zn 0.750 0.875 0.625  0.02
Zn 0.125 0.250 0.875  0.02
Zn 0.875 0.750 0.125  0.02
Zn 0.375 0.625 0.250  0.02

Values from the calculation:
- E_form (uncorrected): -1307 meV per atom
- DOS(E_F): 0.53 states/eV/atom


Compound: ZnGa5O8
Source: Alexandria via LeMat-Bulk
Functional: GGA-PBE
Structure: optimized geometry

a b c (Å): 6.033 6.033 6.033
angles (deg): 60.00 60.00 60.00
Fractional positions:
Ga 0.624 0.129 0.624
Ga 0.624 0.624 0.129
Ga 0.129 0.624 0.624
Ga 0.624 0.624 0.624
Ga 0.000 0.000 0.000
O 0.387 0.839 0.387
O 0.864 0.407 0.864
O 0.407 0.864 0.864
O 0.387 0.387 0.387
O 0.387 0.387 0.839
O 0.839 0.387 0.387
O 0.864 0.864 0.407
O 0.864 0.864 0.864
Zn 0.250 0.250 0.250

Values from the calculation:
- E_form (uncorrected): -1703 meV per atom
- DOS(E_F): 0.05 states/eV/atom


Compound: ZnGaO3
Source: Alexandria via LeMat-Bulk
Functional: GGA-PBE
Structure: optimized geometry

a b c (Å): 3.168 5.086 7.447
angles (deg): 90.00 102.28 90.00
Site moments in Bohr magnetons follow the coordinates.
Fractional positions:
O 0.436 0.790 0.873  0.19
O 0.564 0.290 0.127  0.19
O 0.888 0.308 0.776  0.27
O 0.784 0.752 0.568  0.33
O 0.112 0.808 0.224  0.27
O 0.216 0.252 0.432  0.33
Zn 0.672 0.994 0.343  0.11
Zn 0.328 0.494 0.657  0.11
Ga 0.100 0.451 0.201  -0.01
Ga 0.900 0.951 0.799  -0.01

Values from the calculation:
- E_form (uncorrected): -1223 meV per atom
- DOS(E_F): 0.42 states/eV/atom


Which of these has the highest DOS(E_F)? Zn3Ga5O12


Which of these has the lowest DOS(E_F)? ZnGa5O8


Which value of E_form (uncorrected) does entry 1 give? -1307 meV per atom